Computed, not measured: a relaxed structure of LiCeZn2 at the PBE-GGA level of DFT.

Lattice parameters (Å, degrees): 2.9189 2.9189 30.0691 90.00 90.00 120.00
With the nearest neighbours (Å) after each atom.
Space group R-3m (No. 166, hexagonal axes)
Asymmetric unit:
Li1 0.0000 0.0000 0.0000 [3 per cell]  6 Zn 2.82, 6 Li 2.92
Ce1 0.0000 0.0000 0.5000 [3 per cell]  6 Ce 2.92, 6 Zn 3.22
Zn1 0.0000 0.0000 0.2580 [6 per cell]  3 Li 2.82, 6 Zn 2.92

Values from the calculation:
energy of formation from the pure elements: -0.04 eV/atom

***

Computed, not measured: a relaxed structure of B2PbF at the PBE-GGA level of DFT.

Lattice parameters (Å, degrees): 3.3954 3.3954 22.6066 90.00 90.00 90.00
With the nearest neighbours (Å) after each atom.
Space group I4_1/amd (No. 141, origin choice 2)
Asymmetric unit:
B1 0.0000 0.0000 0.0000 [8 per cell]  2 B 1.70
Pb1 0.0000 0.2500 0.3750 [4 per cell]  4 F 2.40
F1 0.0000 0.2500 0.8750 [4 per cell]  4 Pb 2.40

Values from the calculation:
ΔE to the lowest computed polymorph: 0 meV/atom
raw formation energy: 88 meV per atom

***

Computed, not measured: a relaxed structure of Nd7InRh2 at the PBE-GGA level of DFT.

Lattice parameters (Å, degrees): 9.2403 14.0222 5.3348 90.00 90.00 90.00
With the nearest neighbours (Å) after each atom.
Space group Cmmm (No. 65)
Asymmetric unit:
Nd1 0.0000 0.0000 0.0000 [2 per cell]  2 Rh 2.83
Nd2 0.0000 0.2135 0.5000 [4 per cell]  2 Rh 2.67
Nd3 0.1826 0.3729 0.0000 [8 per cell]  2 Rh 2.93-3.11
In1 0.0000 0.5000 0.5000 [2 per cell]  10 Nd 3.62-4.02
Rh1 0.0000 0.2017 0.0000 [4 per cell]  5 Nd 2.67-2.93

Values from the calculation:
energy of formation from the pure elements: -0.20 eV/atom

***

Computed, not measured: a relaxed structure of LaMgIn2 at the PBE-GGA level of DFT.

Lattice parameters (Å, degrees): 7.5517 7.5517 7.5517 90.00 90.00 90.00
With the nearest neighbours (Å) after each atom.
Space group F-43m (No. 216)
Asymmetric unit:
La1 0.0000 0.0000 0.0000 [4 per cell]  4 Mg 3.27, 4 In 3.27
Mg1 0.2500 0.2500 0.2500 [4 per cell]  4 In 3.27, 4 La 3.27
In1 0.0000 0.0000 0.5000 [4 per cell]  4 In 3.27, 4 Mg 3.27
In2 0.2500 0.2500 0.7500 [4 per cell]  4 La 3.27, 4 In 3.27

Values from the calculation:
energy of formation from the pure elements: -0.22 eV/atom

***

Computed, not measured: a relaxed structure of AgOF2 at the PBE-GGA level of DFT.

Lattice parameters (Å, degrees): 3.8669 3.8669 14.3964 90.00 90.00 90.00
With the nearest neighbours (Å) after each atom.
Space group I-42d (No. 122)
Asymmetric unit:
Ag1 0.0000 0.0000 0.0000 [4 per cell]  4 F 2.23
O1 0.0000 0.0000 0.5000 [4 per cell]  4 F 2.29
F1 0.2305 0.2500 0.1250 [8 per cell]  2 Ag 2.23, 2 O 2.29

Values from the calculation:
ΔE to the lowest computed polymorph: 816 meV/atom
raw formation energy: 10 meV per atom

***

Computed, not measured: a relaxed structure of ZrCrSe2 at the PBE-GGA level of DFT.

Lattice parameters (Å, degrees): 3.5413 4.7075 4.9621 90.00 106.66 90.00
With the nearest neighbours (Å) after each atom.
Space group Pm (No. 6)
Asymmetric unit:
Zr1 0.0000 0.0000 0.0000 [1 per cell]  5 Se 2.69-2.89
Cr1 0.8681 0.5000 0.4614 [1 per cell]  3 Se 2.44-2.63
Se1 0.5057 0.5000 0.8941 [1 per cell]  3 Cr 2.63-2.80, 2 Zr 2.89
Se2 0.6754 0.0000 0.4276 [1 per cell]  2 Cr 2.44, 2 Zr 2.69-2.70

Values from the calculation:
ΔE to the lowest computed polymorph: 190 meV/atom
raw formation energy: -599 meV per atom

***

Computed, not measured: a relaxed structure of InIr2Br at the PBE-GGA level of DFT.

Lattice parameters (Å, degrees): 6.6335 6.6335 6.6335 90.00 90.00 90.00
With the nearest neighbours (Å) after each atom.
Space group F-43m (No. 216)
Asymmetric unit:
In1 0.0000 0.0000 0.0000 [4 per cell]  4 Ir 2.87, 4 Br 2.87
Ir1 0.0000 0.0000 0.5000 [4 per cell]  4 Br 2.87, 4 Ir 2.87
Ir2 0.2500 0.2500 0.7500 [4 per cell]  4 In 2.87, 4 Ir 2.87
Br1 0.2500 0.2500 0.2500 [4 per cell]  4 In 2.87, 4 Ir 2.87

Values from the calculation:
ΔE to the lowest computed polymorph: 598 meV/atom
raw formation energy: 890 meV per atom

***

Computed, not measured: a relaxed structure of TlTeIN2 at the PBE-GGA level of DFT.

Lattice parameters (Å, degrees): 4.3202 4.3202 7.6507 90.00 90.00 90.00
With the nearest neighbours (Å) after each atom.
Space group P4/mmm (No. 123)
Asymmetric unit:
Tl1 0.0000 0.0000 0.0000 [1 per cell]  4 I 3.05
Te1 0.5000 0.5000 0.5000 [1 per cell]  4 N 2.16
I1 0.5000 0.5000 0.0000 [1 per cell]  4 Tl 3.05
N1 0.0000 0.5000 0.5000 [2 per cell]  2 Te 2.16

Values from the calculation:
ΔE to the lowest computed polymorph: 0 meV/atom
raw formation energy: 1236 meV per atom

***

Computed, not measured: a relaxed structure of LiTc2OsO at the PBE-GGA level of DFT.

Lattice parameters (Å, degrees): 4.1308 4.1308 4.0208 90.00 90.00 90.00
With the nearest neighbours (Å) after each atom.
Space group P4/mmm (No. 123)
Asymmetric unit:
Li1 0.0000 0.0000 0.0000 [1 per cell]  2 Os 2.01, 4 Tc 2.07
Tc1 0.0000 0.5000 0.0000 [2 per cell]  2 Li 2.07
Os1 0.0000 0.0000 0.5000 [1 per cell]  2 Li 2.01
O1 0.5000 0.5000 0.5000 [1 per cell]  8 Tc 2.88, 4 Os 2.92

Values from the calculation:
raw formation energy: 2027 meV per atom

***

Computed, not measured: a relaxed structure of KLi2U3Te6 at the PBE-GGA level of DFT.

Lattice parameters (Å, degrees): 19.8174 4.3702 9.1906 90.00 107.21 90.00
With the nearest neighbours (Å) after each atom.
Space group C2/m (No. 12)
Asymmetric unit:
K1 0.0000 0.0000 0.0000 [2 per cell]  6 Te 3.29
Li1 0.1729 0.5000 0.3419 [4 per cell]  6 Te 3.05-3.26
U1 0.0000 0.0000 0.5000 [2 per cell]  6 Te 3.06-3.16
U2 0.1642 0.5000 0.8274 [4 per cell]  6 Te 3.08-3.16
Te1 0.0014 0.5000 0.2681 [4 per cell]  3 U 3.06-3.14, 1 Li 3.26, 2 K 3.29
Te2 0.1667 0.0000 0.5810 [4 per cell]  3 Li 3.05-3.13, 3 U 3.16
Te3 0.1734 0.0000 0.0814 [4 per cell]  3 U 3.08-3.16, 2 Li 3.24, 1 K 3.29

Values from the calculation:
raw formation energy: -752 meV per atom

***

Computed, not measured: a relaxed structure of LaAlAs3 at the PBE-GGA level of DFT.

Lattice parameters (Å, degrees): 5.6548 5.6548 5.6548 90.00 90.00 90.00
With the nearest neighbours (Å) after each atom.
Space group Pm-3m (No. 221)
Asymmetric unit:
La1 0.0000 0.0000 0.0000 [1 per cell]  6 As 2.83
Al1 0.5000 0.5000 0.5000 [1 per cell]  12 As 4.00
As1 0.0000 0.0000 0.5000 [3 per cell]  2 La 2.83

Values from the calculation:
ΔE to the lowest computed polymorph: 1024 meV/atom
energy of formation from the pure elements: 0.68 eV/atom

***

Computed, not measured: a relaxed structure of K2DyTcO6 at the PBE-GGA level of DFT.

Lattice parameters (Å, degrees): 6.2496 6.2496 5.7675 90.00 90.00 120.00
With the nearest neighbours (Å) after each atom.
Space group P-3m1 (No. 164)
Asymmetric unit:
K1 0.3333 0.6667 0.0987 [2 per cell]  3 O 2.73
Dy1 0.0000 0.0000 0.5000 [1 per cell]  6 O 2.28
Tc1 0.0000 0.0000 0.0000 [1 per cell]  6 O 1.91
O1 0.1396 0.2792 0.7965 [6 per cell]  1 Tc 1.91

Values from the calculation:
raw formation energy: -1869 meV per atom